DFT (PBE+U) results for crystalline V3FeF at its relaxed geometry.

Calculated values
Energy relative to the lowest polymorph listed for this composition ... 0.000 eV per atom

Cell lengths 4.3489, 4.3489, 4.3489 Å; angles 90.00, 90.00, 90.00 degrees
Positions (direct):
V 0.0000 0.0000 0.5000
V 0.0000 0.5000 0.0000
V 0.5000 0.0000 0.0000
Fe 0.5000 0.5000 0.5000
F 0.0000 0.0000 0.0000